# 1
ZrZn3Sb after structural relaxation, computed with PBE.

calculated density = 4.9 g/cm3
formation energy (no corrections) = 85.8 kJ per mole of atoms
total magnetic moment = 0.000 μB per formula unit
electronic total energy = -12.0 eV for the cell shown

Cell and atoms, written as CIF:
```
data_ZrZn3Sb
_cell_length_a 5.180
_cell_length_b 5.180
_cell_length_c 5.180
_cell_angle_alpha 90.00
_cell_angle_beta 90.00
_cell_angle_gamma 90.00
_symmetry_space_group_name_H-M 'P m -3 m'
_symmetry_Int_Tables_number 221
_symmetry_space_group_name_Hall '-P 4 2 3'
loop_
_atom_site_label
_atom_site_type_symbol
_atom_site_fract_x
_atom_site_fract_y
_atom_site_fract_z
Zr1 Zr 0.000 0.000 0.000
Zn1 Zn 0.000 0.000 0.500
Sb1 Sb 0.500 0.500 0.500
```

---

# 2
Zr5ZnSb3 after structural relaxation, computed with PBE.

calculated density = 7.7 g/cm3
formation energy (no corrections) = -69.2 kJ per mole of atoms
total magnetic moment = 0.000 μB per formula unit
electronic total energy = -125.7 eV for the cell shown

Cell and atoms, written as CIF:
```
data_Zr5ZnSb3
_cell_length_a 8.6641
_cell_length_b 8.6641
_cell_length_c 5.8728
_cell_angle_alpha 90.00
_cell_angle_beta 90.00
_cell_angle_gamma 120.00
_symmetry_space_group_name_H-M 'P 63/m c m'
_symmetry_Int_Tables_number 193
_symmetry_space_group_name_Hall '-P 6c 2'
loop_
_atom_site_label
_atom_site_type_symbol
_atom_site_fract_x
_atom_site_fract_y
_atom_site_fract_z
Zr1 Zr 0.0000 0.2691 0.2500
Zr2 Zr 0.3333 0.6667 0.0000
Zn1 Zn 0.0000 0.0000 0.0000
Sb1 Sb 0.0000 0.3854 0.7500
```

---

# 3
ZrZn2Sb2 after structural relaxation, computed with PBE.

calculated density = 6.8 g/cm3
formation energy (no corrections) = -6.9 kJ per mole of atoms
total magnetic moment = 0.000 μB per formula unit
electronic total energy = -39.4 eV for the cell shown

Cell and atoms, written as CIF:
```
data_ZrZn2Sb2
_cell_length_a 3.746
_cell_length_b 3.746
_cell_length_c 16.308
_cell_angle_alpha 90.00
_cell_angle_beta 90.00
_cell_angle_gamma 90.00
_symmetry_space_group_name_H-M 'I 4/m m m'
_symmetry_Int_Tables_number 139
_symmetry_space_group_name_Hall '-I 4 2'
loop_
_atom_site_label
_atom_site_type_symbol
_atom_site_fract_x
_atom_site_fract_y
_atom_site_fract_z
Zr1 Zr 0.000 0.000 0.000
Zn1 Zn 0.000 0.500 0.250
Sb1 Sb 0.000 0.000 0.405
```

---

# 4
ZrSb after structural relaxation, computed with PBE.

calculated density = 6.2 g/cm3
formation energy (no corrections) = -9.4 kJ per mole of atoms
total magnetic moment = 0.181 μB per formula unit
electronic total energy = -77.2 eV for the cell shown

Cell and atoms, written as CIF:
```
data_ZrSb
_cell_length_a 4.8586
_cell_length_b 4.8586
_cell_length_c 16.7928
_cell_angle_alpha 90.00
_cell_angle_beta 90.00
_cell_angle_gamma 120.00
_symmetry_space_group_name_H-M 'P -3 m 1'
_symmetry_Int_Tables_number 164
_symmetry_space_group_name_Hall '-P 3 2"'
loop_
_atom_site_label
_atom_site_type_symbol
_atom_site_fract_x
_atom_site_fract_y
_atom_site_fract_z
Zr1 Zr 0.0000 0.0000 0.0906
Zr2 Zr 0.3333 0.6667 0.2073
Zr3 Zr 0.3333 0.6667 0.3890
Sb1 Sb 0.0000 0.0000 0.2708
Sb2 Sb 0.3333 0.6667 0.0405
Sb3 Sb 0.3333 0.6667 0.5673
```

---

# 5
ZrSb2 after structural relaxation, computed with PBE.

calculated density = 7.8 g/cm3
formation energy (no corrections) = -39.0 kJ per mole of atoms
total magnetic moment = 0.000 μB per formula unit
electronic total energy = -72.0 eV for the cell shown

Cell and atoms, written as CIF:
```
data_ZrSb2
_cell_length_a 3.777
_cell_length_b 14.833
_cell_length_c 5.072
_cell_angle_alpha 90.00
_cell_angle_beta 90.00
_cell_angle_gamma 90.00
_symmetry_space_group_name_H-M 'C m c m'
_symmetry_Int_Tables_number 63
_symmetry_space_group_name_Hall '-C 2c 2'
loop_
_atom_site_label
_atom_site_type_symbol
_atom_site_fract_x
_atom_site_fract_y
_atom_site_fract_z
Zr1 Zr 0.000 0.100 0.250
Sb1 Sb 0.000 0.239 0.750
Sb2 Sb 0.000 0.437 0.250
```

---

# 6
ZrSb3 after structural relaxation, computed with PBE.

calculated density = 7.6 g/cm3
formation energy (no corrections) = -3.0 kJ per mole of atoms
total magnetic moment = 0.000 μB per formula unit
electronic total energy = -21.0 eV for the cell shown

Cell and atoms, written as CIF:
```
data_ZrSb3
_cell_length_a 5.160
_cell_length_b 5.160
_cell_length_c 3.759
_cell_angle_alpha 90.00
_cell_angle_beta 90.00
_cell_angle_gamma 90.00
_symmetry_space_group_name_H-M 'P 4/m m m'
_symmetry_Int_Tables_number 123
_symmetry_space_group_name_Hall '-P 4 2'
loop_
_atom_site_label
_atom_site_type_symbol
_atom_site_fract_x
_atom_site_fract_y
_atom_site_fract_z
Zr1 Zr 0.000 0.000 0.000
Sb1 Sb 0.000 0.500 0.500
Sb2 Sb 0.500 0.500 0.000
```

---

# 7
Zr3Sb after structural relaxation, computed with PBE.

calculated density = 7.5 g/cm3
formation energy (no corrections) = -21.1 kJ per mole of atoms
total magnetic moment = 0.000 μB per formula unit
electronic total energy = -122.6 eV for the cell shown

Cell and atoms, written as CIF:
```
data_Zr3Sb
_cell_length_a 7.059
_cell_length_b 7.059
_cell_length_c 7.059
_cell_angle_alpha 90.00
_cell_angle_beta 90.00
_cell_angle_gamma 90.00
_symmetry_space_group_name_H-M 'F m -3 m'
_symmetry_Int_Tables_number 225
_symmetry_space_group_name_Hall '-F 4 2 3'
loop_
_atom_site_label
_atom_site_type_symbol
_atom_site_fract_x
_atom_site_fract_y
_atom_site_fract_z
Zr1 Zr 0.000 0.000 0.000
Zr2 Zr 0.250 0.250 0.250
Sb1 Sb 0.000 0.000 0.500
```

---

# 8
ZrSb after structural relaxation, computed with PBE.

calculated density = 7.5 g/cm3
formation energy (no corrections) = -54.5 kJ per mole of atoms
total magnetic moment = 0.000 μB per formula unit
electronic total energy = -55.2 eV for the cell shown

Cell and atoms, written as CIF:
```
data_ZrSb
_cell_length_a 10.544
_cell_length_b 3.755
_cell_length_c 4.854
_cell_angle_alpha 90.00
_cell_angle_beta 100.14
_cell_angle_gamma 90.00
_symmetry_space_group_name_H-M 'C 1 2/m 1'
_symmetry_Int_Tables_number 12
loop_
_symmetry_equiv_pos_as_xyz
'x,y,z'
'-x,-y,-z'
'-x,y,-z'
'x,-y,z'
'x+1/2,y+1/2,z'
'-x+1/2,-y+1/2,-z'
'-x+1/2,y+1/2,-z'
'x+1/2,-y+1/2,z'
loop_
_atom_site_label
_atom_site_type_symbol
_atom_site_fract_x
_atom_site_fract_y
_atom_site_fract_z
Zr1 Zr 0.110 0.000 0.294
Sb1 Sb 0.117 0.500 0.795
```

---

# 9
Zr3Sb after structural relaxation, computed with PBE.

calculated density = 7.2 g/cm3
formation energy (no corrections) = -22.3 kJ per mole of atoms
total magnetic moment = 0.000 μB per formula unit
electronic total energy = -30.7 eV for the cell shown

Cell and atoms, written as CIF:
```
data_Zr3Sb
_cell_length_a 3.239
_cell_length_b 5.181
_cell_length_c 5.487
_cell_angle_alpha 90.00
_cell_angle_beta 95.99
_cell_angle_gamma 90.00
_symmetry_space_group_name_H-M 'P 1 2/m 1'
_symmetry_Int_Tables_number 10
loop_
_symmetry_equiv_pos_as_xyz
'x,y,z'
'-x,-y,-z'
'-x,y,-z'
'x,-y,z'
loop_
_atom_site_label
_atom_site_type_symbol
_atom_site_fract_x
_atom_site_fract_y
_atom_site_fract_z
Zr1 Zr 0.000 0.000 0.000
Zr2 Zr 0.288 0.500 0.756
Sb1 Sb 0.500 0.000 0.500
```

---

# 10
ZrSb after structural relaxation, computed with PBE.

calculated density = 6.8 g/cm3
formation energy (no corrections) = -40.5 kJ per mole of atoms
total magnetic moment = 0.000 μB per formula unit
electronic total energy = -81.1 eV for the cell shown

Cell and atoms, written as CIF:
```
data_ZrSb
_cell_length_a 4.582
_cell_length_b 9.768
_cell_length_c 6.942
_cell_angle_alpha 90.00
_cell_angle_beta 90.00
_cell_angle_gamma 90.00
_symmetry_space_group_name_H-M 'A m m 2'
_symmetry_Int_Tables_number 38
loop_
_symmetry_equiv_pos_as_xyz
'x,y,z'
'-x,-y,z'
'-x,y,z'
'x,-y,z'
'x,y+1/2,z+1/2'
'-x,-y+1/2,z+1/2'
'-x,y+1/2,z+1/2'
'x,-y+1/2,z+1/2'
loop_
_atom_site_label
_atom_site_type_symbol
_atom_site_fract_x
_atom_site_fract_y
_atom_site_fract_z
Zr1 Zr 0.000 0.000 0.000
Zr2 Zr 0.500 0.224 0.936
Sb1 Sb 0.000 0.167 0.654
Sb2 Sb 0.500 0.000 0.260
```

---

# 11
Zr3Sb after structural relaxation, computed with PBE.

calculated density = 7.0 g/cm3
formation energy (no corrections) = -33.9 kJ per mole of atoms
total magnetic moment = 0.000 μB per formula unit
electronic total energy = -62.3 eV for the cell shown

Cell and atoms, written as CIF:
```
data_Zr3Sb
_cell_length_a 5.840
_cell_length_b 3.570
_cell_length_c 9.228
_cell_angle_alpha 90.00
_cell_angle_beta 101.30
_cell_angle_gamma 90.00
_symmetry_space_group_name_H-M 'P 1 21/m 1'
_symmetry_Int_Tables_number 11
loop_
_symmetry_equiv_pos_as_xyz
'x,y,z'
'-x,-y,-z'
'-x,y+1/2,-z'
'x,-y+1/2,z'
loop_
_atom_site_label
_atom_site_type_symbol
_atom_site_fract_x
_atom_site_fract_y
_atom_site_fract_z
Zr1 Zr 0.081 0.250 0.367
Zr2 Zr 0.253 0.250 0.909
Zr3 Zr 0.403 0.750 0.646
Sb1 Sb 0.268 0.750 0.161
```

---

# 12
Zr5Sb3 after structural relaxation, computed with PBE.

calculated density = 7.5 g/cm3
formation energy (no corrections) = -52.7 kJ per mole of atoms
total magnetic moment = 0.000 μB per formula unit
electronic total energy = -119.0 eV for the cell shown

Cell and atoms, written as CIF:
```
data_Zr5Sb3
_cell_length_a 8.200
_cell_length_b 9.773
_cell_length_c 4.511
_cell_angle_alpha 90.00
_cell_angle_beta 90.00
_cell_angle_gamma 90.00
_symmetry_space_group_name_H-M 'C m m m'
_symmetry_Int_Tables_number 65
_symmetry_space_group_name_Hall '-C 2 2'
loop_
_atom_site_label
_atom_site_type_symbol
_atom_site_fract_x
_atom_site_fract_y
_atom_site_fract_z
Zr1 Zr 0.000 0.000 0.000
Zr2 Zr 0.221 0.500 0.500
Zr3 Zr 0.250 0.250 0.000
Sb1 Sb 0.000 0.208 0.500
Sb2 Sb 0.000 0.500 0.000
```

---

Q: Which value of total magnetic moment does entry 7 give?
A: 0.000 μB per formula unit